Be2RePb after structural relaxation, computed with GGA-PBE.

a b c (Å): 5.681 5.681 5.681
angles (deg): 103.17 103.17 122.97
Atoms (fractional coordinates):
Be 0.056 0.625 0.931
Be 0.375 0.306 0.431
Be 0.694 0.125 0.069
Be 0.875 0.944 0.569
Re 0.000 0.000 0.000
Re 0.750 0.250 0.500
Pb 0.250 0.750 0.500
Pb 0.500 0.500 0.000

Output
The crystal system is tetragonal. The calculated total energy comes out at -4.93 eV/atom. The volume comes out at 16.90 A^3/atom. Its size of the total moment is 0.0 μB per cell. The formation energy comes out at 3.9 eV/f.u. Its space group is No. 122.


NaPr2BiO6 after structural relaxation, computed with GGA-PBE.

a b c (Å): 6.178 6.178 6.178
angles (deg): 57.86 57.86 57.86
Atoms (fractional coordinates):
Na 0.000 0.000 0.000
Pr 0.272 0.272 0.272
Pr 0.774 0.774 0.774
Bi 0.487 0.487 0.487
O 0.125 0.674 0.385
O 0.220 0.602 0.842
O 0.385 0.125 0.674
O 0.602 0.842 0.220
O 0.674 0.385 0.125
O 0.842 0.220 0.602

Output
The crystal system is trigonal. The calculated total energy comes out at -6.68 eV/atom. The volume comes out at 15.86 A^3/atom. Its size of the total moment is 0.0 μB per cell. Its space group is No. 146. As for the uncorrected formation energy: -2.2243 eV/atom.


Please write out number 1 again, unchanged.
Be2RePb after structural relaxation, computed with GGA-PBE.

a b c (Å): 5.681 5.681 5.681
angles (deg): 103.17 103.17 122.97
Atoms (fractional coordinates):
Be 0.056 0.625 0.931
Be 0.375 0.306 0.431
Be 0.694 0.125 0.069
Be 0.875 0.944 0.569
Re 0.000 0.000 0.000
Re 0.750 0.250 0.500
Pb 0.250 0.750 0.500
Pb 0.500 0.500 0.000

Output
The crystal system is tetragonal. The calculated total energy comes out at -4.93 eV/atom. The volume comes out at 16.90 A^3/atom. Its size of the total moment is 0.0 μB per cell. The formation energy comes out at 3.9 eV/f.u. Its space group is No. 122.